Entry 1:
10
Lattice="8.650 0.000 0.000 0.000 8.650 0.000 0.000 0.000 3.772" Properties=species:S:1:pos:R:3 comment="BaY2Ga2 (PBE-GGA, optimized geometry)" n_ef_per_ev_atom=1.2377 total_magnetization_mub_per_fu=0.000 spacegroup="No. 127" formation_enthalpy_0k_ev_per_fu=-1.4 de_polymorph_mev_per_atom=53 vol_a3_per_cell=282.26 pbc="T T T"
Ba 0.000 0.000 0.000
Ba 4.325 4.325 0.000
Y 1.500 2.825 1.886
Y 2.825 7.150 1.886
Y 5.825 1.500 1.886
Y 7.150 5.825 1.886
Ga 0.999 5.325 0.000
Ga 3.326 0.999 0.000
Ga 5.325 7.651 0.000
Ga 7.651 3.326 0.000


Entry 2:
8
Lattice="-3.053 3.053 9.857 3.053 -3.053 9.857 3.053 3.053 -9.857" Properties=species:S:1:pos:R:3 comment="BaY2Ga (PBE-GGA, optimized geometry)" n_ef_per_ev_atom=2.6378 total_magnetization_mub_per_fu=0.000 spacegroup="No. 122" formation_enthalpy_0k_ev_per_fu=1.8 vol_a3_per_cell=367.45 pbc="T T T"
Ba 0.000 0.000 0.000
Ba 0.000 3.053 4.928
Y 1.526 -0.008 7.393
Y 3.045 1.526 2.464
Y 1.526 3.060 -2.464
Y 0.008 1.526 12.321
Ga 3.053 0.000 4.928
Ga 0.000 0.000 9.857


Entry 3:
4
Lattice="0.000 3.843 3.843 3.843 0.000 3.843 3.843 3.843 0.000" Properties=species:S:1:pos:R:3 comment="BaYGa2 (PBE-GGA, optimized geometry)" n_ef_per_ev_atom=1.0522 total_magnetization_mub_per_fu=0.000 spacegroup="No. 225" formation_enthalpy_0k_ev_per_fu=-1.2 de_polymorph_mev_per_atom=163 vol_a3_per_cell=113.49 pbc="T T T"
Ba 0.000 0.000 0.000
Y 3.843 3.843 3.843
Ga 1.921 1.921 1.921
Ga 5.764 5.764 5.764


Entry 4:
8
Lattice="-4.915 4.915 3.341 4.915 -4.915 3.341 4.915 4.915 -3.341" Properties=species:S:1:pos:R:3 comment="Ba2YGa (PBE-GGA, optimized geometry)" n_ef_per_ev_atom=0.2255 total_magnetization_mub_per_fu=0.000 spacegroup="No. 122" formation_enthalpy_0k_ev_per_fu=0.8 vol_a3_per_cell=322.82 pbc="T T T"
Ba 7.373 1.913 -0.835
Ba 1.913 2.458 0.835
Ba -2.458 3.003 2.505
Ba 3.003 2.458 4.176
Y 4.915 0.000 1.670
Y 0.000 0.000 3.341
Ga 0.000 0.000 0.000
Ga 0.000 4.915 1.670


Entry 5:
5
Lattice="5.716 0.000 0.000 0.000 5.716 0.000 0.000 0.000 5.716" Properties=species:S:1:pos:R:3 comment="BaY3Ga (PBE-GGA, optimized geometry)" n_ef_per_ev_atom=0.7768 total_magnetization_mub_per_fu=0.000 spacegroup="No. 221" formation_enthalpy_0k_ev_per_fu=5.7 de_polymorph_mev_per_atom=1129 vol_a3_per_cell=186.80 pbc="T T T"
Ba 0.000 0.000 0.000
Y 0.000 0.000 2.858
Y 0.000 2.858 0.000
Y 2.858 0.000 0.000
Ga 2.858 2.858 2.858


Entry 6:
7
Lattice="-2.797 2.797 9.329 2.797 -2.797 9.329 2.797 2.797 -9.329" Properties=species:S:1:pos:R:3 comment="Ba2Y4Ga (PBE-GGA, optimized geometry)" n_ef_per_ev_atom=1.8159 total_magnetization_mub_per_fu=0.000 spacegroup="No. 139" formation_enthalpy_0k_ev_per_fu=1.9 vol_a3_per_cell=292.03 pbc="T T T"
Ba 0.000 0.000 2.736
Ba 0.000 0.000 15.922
Y 2.797 0.000 0.000
Y 0.000 0.000 6.528
Y 0.000 2.797 0.000
Y 0.000 0.000 12.130
Ga 0.000 0.000 9.329


Entry 7:
5
Lattice="-2.461 2.461 6.340 2.461 -2.461 6.340 2.461 2.461 -6.340" Properties=species:S:1:pos:R:3 comment="BaY2Ga2 (PBE-GGA, optimized geometry)" n_ef_per_ev_atom=1.4196 total_magnetization_mub_per_fu=0.000 spacegroup="No. 139" formation_enthalpy_0k_ev_per_fu=-1.5 de_polymorph_mev_per_atom=29 vol_a3_per_cell=153.65 pbc="T T T"
Ba 0.000 0.000 0.000
Y 2.461 0.000 3.170
Y 0.000 2.461 3.170
Ga 0.000 0.000 5.036
Ga 0.000 0.000 7.644


Entry 8:
5
Lattice="5.682 0.000 0.000 0.000 5.682 0.000 0.000 0.000 5.682" Properties=species:S:1:pos:R:3 comment="BaY3Ga (PBE-GGA, optimized geometry)" n_ef_per_ev_atom=1.3642 total_magnetization_mub_per_fu=0.000 spacegroup="No. 221" formation_enthalpy_0k_ev_per_fu=0.1 de_polymorph_mev_per_atom=0 vol_a3_per_cell=183.42 pbc="T T T"
Ba 0.000 0.000 0.000
Y 0.000 2.841 2.841
Y 2.841 0.000 2.841
Y 2.841 2.841 0.000
Ga 2.841 2.841 2.841


Entry 9:
5
Lattice="6.473 0.000 0.000 0.000 6.473 0.000 0.000 0.000 6.473" Properties=species:S:1:pos:R:3 comment="Ba3YGa (PBE-GGA, optimized geometry)" n_ef_per_ev_atom=0.8217 total_magnetization_mub_per_fu=0.000 spacegroup="No. 221" formation_enthalpy_0k_ev_per_fu=3.6 de_polymorph_mev_per_atom=440 vol_a3_per_cell=271.16 pbc="T T T"
Ba 0.000 0.000 3.236
Ba 0.000 3.236 0.000
Ba 3.236 0.000 0.000
Y 0.000 0.000 0.000
Ga 3.236 3.236 3.236


Entry 10:
4
Lattice="3.813 0.000 0.000 0.000 3.813 0.000 0.000 0.000 7.715" Properties=species:S:1:pos:R:3 comment="BaYGa2 (PBE-GGA, optimized geometry)" n_ef_per_ev_atom=0.5335 total_magnetization_mub_per_fu=0.000 spacegroup="No. 123" formation_enthalpy_0k_ev_per_fu=-1.8 de_polymorph_mev_per_atom=0 vol_a3_per_cell=112.19 pbc="T T T"
Ba 0.000 0.000 0.000
Y 0.000 0.000 3.857
Ga 1.907 1.907 2.340
Ga 1.907 1.907 5.375


Entry 11:
10
Lattice="8.119 0.000 0.000 0.000 8.119 0.000 0.000 0.000 4.783" Properties=species:S:1:pos:R:3 comment="Ba2Zn2Ga (PBE-GGA, optimized geometry)" n_ef_per_ev_atom=0.7476 total_magnetization_mub_per_fu=0.000 spacegroup="No. 127" formation_enthalpy_0k_ev_per_fu=-0.7 de_polymorph_mev_per_atom=111 vol_a3_per_cell=315.27 pbc="T T T"
Ba 1.549 2.511 0.000
Ba 2.511 6.571 0.000
Ba 5.608 1.549 0.000
Ba 6.571 5.608 0.000
Zn 0.905 4.965 2.391
Zn 3.154 0.905 2.391
Zn 4.965 7.214 2.391
Zn 7.214 3.154 2.391
Ga 0.000 0.000 2.391
Ga 4.060 4.060 2.391


Entry 12:
14
Lattice="6.553 -2.229 0.000 6.553 2.229 0.000 -5.345 0.000 15.511" Properties=species:S:1:pos:R:3 comment="Ba3ZnGa3 (PBE-GGA, optimized geometry)" n_ef_per_ev_atom=0.8296 total_magnetization_mub_per_fu=0.000 spacegroup="No. 12" formation_enthalpy_0k_ev_per_fu=-2.3 vol_a3_per_cell=453.05 pbc="T T T"
Ba -1.908 0.000 6.022
Ba -3.425 0.000 14.317
Ba 1.895 0.000 3.616
Ba 5.864 0.000 11.895
Ba 11.185 0.000 1.194
Ba 9.668 0.000 9.489
Zn 0.484 0.000 9.560
Zn 7.276 0.000 5.950
Ga 1.558 0.000 7.180
Ga 0.458 0.000 14.321
Ga 1.952 0.000 11.951
Ga 5.808 0.000 3.559
Ga 7.302 0.000 1.190
Ga 6.201 0.000 8.331


| no. | DFT total energy (eV per atom) |
| --- | --- |
| 1 | -4.47 |
| 2 | -4.01 |
| 3 | -3.91 |
| 4 | -3.14 |
| 5 | -3.73 |
| 6 | -4.41 |
| 7 | -4.49 |
| 8 | -4.86 |
| 9 | -2.33 |
| 10 | -4.07 |
| 11 | -2.02 |
| 12 | -2.63 |